Entry 1:
Here is a geometry-optimized CsSb2Os structure from Alexandria via LeMat-Bulk. Energies are from GGA-PBE.

Fermi-level density of states: 2.88 states/eV/cell
Raw formation energy: 0.99 eV per atom
Crystal system: cubic

Unit cell a=5.192 b=5.192 c=5.192 alpha=60.00 beta=60.00 gamma=60.00
Element x y z (fractional)
Cs1 0.000 0.000 0.000
Sb1 0.750 0.750 0.750
Os1 0.500 0.500 0.500
Sb2 0.250 0.250 0.250

***

Entry 2:
Here is a geometry-optimized MgMn2PbN structure from Alexandria via LeMat-Bulk. Energies are from GGA-PBE.

Fermi-level density of states: 5.52 states/eV/cell
Raw formation energy: 2.06 eV per atom
Crystal system: tetragonal

Unit cell a=5.023 b=5.460 c=5.023 alpha=90.00 beta=90.00 gamma=90.00
Element x y z (fractional)
Mg1 0.000 0.000 0.000
Pb1 0.000 0.500 0.000
Mn1 0.000 0.000 0.500
Mn2 0.500 0.000 0.000
N1 0.500 0.500 0.500

***

Entry 3:
Here is a geometry-optimized CaMgSnF structure from Alexandria via LeMat-Bulk. Energies are from GGA-PBE.

Fermi-level density of states: 3.05 states/eV/cell
Raw formation energy: -1.62 eV per atom
Crystal system: tetragonal

Unit cell a=4.141 b=4.141 c=10.412 alpha=90.00 beta=90.00 gamma=90.00
Element x y z (fractional)
Ca1 0.000 0.500 0.883
Mg1 0.500 0.500 0.500
F1 0.000 0.000 0.000
Ca2 0.500 0.000 0.117
Sn1 0.500 0.000 0.703
Mg2 0.000 0.000 0.500
Sn2 0.000 0.500 0.297
F2 0.500 0.500 0.000

***

Entry 4:
Here is a geometry-optimized In2CuSi structure from Alexandria via LeMat-Bulk. Energies are from GGA-PBE.

Fermi-level density of states: 3.04 states/eV/cell
Raw formation energy: 0.47 eV per atom
Crystal system: cubic

Unit cell a=4.872 b=4.872 c=4.872 alpha=60.00 beta=60.00 gamma=60.00
Element x y z (fractional)
Si1 0.750 0.750 0.750
Cu1 0.500 0.500 0.500
In1 0.000 0.000 0.000
In2 0.250 0.250 0.250

***

Entry 5:
Here is a geometry-optimized CrGeS2 structure from Alexandria via LeMat-Bulk. Energies are from GGA-PBE.

Fermi-level density of states: 13.00 states/eV/cell
Raw formation energy: 0.00 eV per atom
Crystal system: tetragonal

Unit cell a=5.711 b=5.711 c=6.488 alpha=63.89 beta=63.89 gamma=90.00
Element x y z (fractional)
S1 0.875 0.814 0.750
Ge1 0.000 0.000 0.000
Cr1 0.250 0.750 0.500
S2 0.375 0.436 0.750
S3 0.564 0.125 0.250
S4 0.186 0.625 0.250
Ge2 0.750 0.250 0.500
Cr2 0.500 0.500 0.000

***

Entry 6:
Here is a geometry-optimized BaMgAg2 structure from Alexandria via LeMat-Bulk. Energies are from GGA-PBE.

Fermi-level density of states: 2.35 states/eV/cell
Crystal system: monoclinic
E_form: -0.179 eV per atom

Unit cell a=4.822 b=4.822 c=6.519 alpha=67.53 beta=67.53 gamma=60.36
Element x y z (fractional)
Ag1 0.008 0.008 0.976
Ba1 0.499 0.499 0.508
Mg1 0.693 0.693 0.921
Ag2 0.300 0.300 0.096

***

Entry 7:
Here is a geometry-optimized SrSn2Te2 structure from Alexandria via LeMat-Bulk. Energies are from GGA-PBE.

Fermi-level density of states: 9.20 states/eV/cell
Raw formation energy: -0.43 eV per atom
Energy above the lowest structure with this stoichiometry: 135 meV/atom
Crystal system: tetragonal

Unit cell a=8.701 b=8.701 c=4.281 alpha=90.00 beta=90.00 gamma=90.00
Element x y z (fractional)
Sn1 0.125 0.375 0.000
Sn2 0.875 0.625 0.000
Sn3 0.375 0.875 0.000
Sn4 0.625 0.125 0.000
Te1 0.302 0.198 0.500
Te2 0.198 0.698 0.500
Te3 0.802 0.302 0.500
Sr1 0.500 0.500 0.000
Sr2 0.000 0.000 0.000
Te4 0.698 0.802 0.500

***

Entry 8:
Here is a geometry-optimized Cs2NaMgZn structure from Alexandria via LeMat-Bulk. Energies are from GGA-PBE.

Fermi-level density of states: 4.10 states/eV/cell
Crystal system: tetragonal
E_form: 0.197 eV per atom

Unit cell a=7.254 b=5.383 c=7.254 alpha=90.00 beta=90.00 gamma=90.00
Element x y z (fractional)
Zn1 0.000 0.000 0.000
Na1 0.500 0.500 0.500
Mg1 0.000 0.500 0.000
Cs1 0.000 0.000 0.500
Cs2 0.500 0.000 0.000

***

Entry 9:
Here is a geometry-optimized CePu5Sn6 structure from Alexandria via LeMat-Bulk. Energies are from GGA-PBE.

Fermi-level density of states: 43.81 states/eV/cell
Crystal system: orthorhombic
E_form: -0.397 eV per atom

Unit cell a=4.799 b=9.165 c=8.871 alpha=121.10 beta=105.69 gamma=90.00
Element x y z (fractional)
Pu1 0.326 0.326 0.651
Sn1 0.167 0.420 0.335
Pu2 0.663 0.163 0.326
Pu3 0.337 0.837 0.674
Sn2 0.833 0.086 0.665
Sn3 0.167 0.914 0.335
Pu4 0.000 0.500 0.000
Pu5 0.674 0.674 0.349
Sn4 0.500 0.257 0.000
Sn5 0.500 0.743 0.000
Sn6 0.833 0.580 0.665
Ce1 0.000 0.000 0.000

***

Entry 10:
Here is a geometry-optimized Sr3Cd9Rh2 structure from Alexandria via LeMat-Bulk. Energies are from GGA-PBE.

Fermi-level density of states: 7.63 states/eV/cell
Crystal system: orthorhombic
E_form: -0.259 eV per atom

Unit cell a=4.822 b=8.938 c=8.938 alpha=73.22 beta=74.35 gamma=74.35
Element x y z (fractional)
Sr1 0.690 0.310 0.310
Rh1 0.500 0.668 0.332
Cd1 0.347 0.011 0.295
Sr2 0.000 0.000 0.000
Cd2 0.000 0.500 0.500
Sr3 0.310 0.690 0.690
Cd3 0.120 0.160 0.600
Rh2 0.500 0.332 0.668
Cd4 0.653 0.705 0.989
Cd5 0.347 0.295 0.011
Cd6 0.880 0.400 0.840
Cd7 0.653 0.989 0.705
Cd8 0.880 0.840 0.400
Cd9 0.120 0.600 0.160

***

Entry 11:
Here is a geometry-optimized CuAgAs2 structure from Alexandria via LeMat-Bulk. Energies are from GGA-PBE.

Fermi-level density of states: 1.47 states/eV/cell
Energy above the lowest structure with this stoichiometry: 112 meV/atom
Crystal system: tetragonal
E_form: 0.271 eV per atom

Unit cell a=4.939 b=4.939 c=4.939 alpha=129.73 beta=129.73 gamma=73.83
Element x y z (fractional)
As1 0.500 0.500 0.000
Cu1 0.250 0.750 0.500
Ag1 0.750 0.250 0.500
As2 0.000 0.000 0.000

***

Entry 12:
Here is a geometry-optimized ZrMn2CoPd structure from Alexandria via LeMat-Bulk. Energies are from GGA-PBE.

Fermi-level density of states: 4.32 states/eV/cell
Crystal system: tetragonal
E_form: 1.537 eV per atom

Unit cell a=4.699 b=4.822 c=4.699 alpha=90.00 beta=90.00 gamma=90.00
Element x y z (fractional)
Pd1 0.000 0.500 0.000
Mn1 0.000 0.000 0.500
Co1 0.500 0.500 0.500
Zr1 0.000 0.000 0.000
Mn2 0.500 0.000 0.000

***

Which of these has the lowest Fermi-level density of states?
CuAgAs2